1.
Below is a relaxed structure of Ta5Al, with properties calculated at the PBE-GGA level.

Cell: 7.6832 7.6832 7.6832 Å, 90.00 90.00 90.00°
Space group F-43m (No. 216)
Unique sites:
Ta (0.0000, 0.0000, 0.0000) (multiplicity 4)
Ta (0.1257, 0.1257, 0.6257) (multiplicity 16)
Al (0.2500, 0.2500, 0.2500) (multiplicity 4)

## Properties
* ΔE_f: 0.30 eV per atom
* mass density: 13.64 g/cm³
* E: -10.1987 eV per atom
* magnetic moment: 0.0 μB per cell
* calculated volume: 18.90 Å³ per atom

2.
Below is a relaxed structure of Hf2ScCl, with properties calculated at the PBE-GGA level.

Cell: 3.9804 3.9804 22.8151 Å, 90.00 90.00 90.00°
Space group I-42d (No. 122)
Unique sites:
Hf (0.2467, 0.2500, 0.1250) (multiplicity 8)
Sc (0.0000, 0.0000, 0.0000) (multiplicity 4)
Cl (0.0000, 0.0000, 0.5000) (multiplicity 4)

## Properties
* E_form (uncorrected): 4.7 kcal/mol of atoms
* mass density: 8.04 g/cm³
* E: -6.8184 eV per atom
* magnetic moment: 0.0 μB per cell
* calculated volume: 22.59 Å³ per atom

3.
Below is a relaxed structure of CaBi2Pb2, with properties calculated at the PBE-GGA level.

Cell: 4.7307 27.1892 4.8960 Å, 90.00 90.00 90.00°
Space group Cmcm (No. 63)
Unique sites:
Ca (0.0000, 0.1581, 0.2500) (multiplicity 4)
Bi (0.0000, 0.2503, 0.7500) (multiplicity 4)
Bi (0.0000, 0.3610, 0.2500) (multiplicity 4)
Pb (0.0000, 0.0493, 0.7500) (multiplicity 4)
Pb (0.0000, 0.4477, 0.7500) (multiplicity 4)

## Properties
* ΔE_f: -0.29 eV per atom
* mass density: 9.20 g/cm³
* E: -3.7308 eV per atom
* magnetic moment: 0.0 μB per cell
* calculated volume: 31.49 Å³ per atom

4.
Below is a relaxed structure of BiNO2F, with properties calculated at the PBE-GGA level.

Cell: 3.9991 3.9991 3.6485 Å, 90.00 90.00 90.00°
Space group P4/mmm (No. 123)
Unique sites:
Bi (0.0000, 0.0000, 0.0000) (multiplicity 1)
N (0.5000, 0.5000, 0.0000) (multiplicity 1)
O (0.0000, 0.5000, 0.5000) (multiplicity 2)
F (0.5000, 0.5000, 0.5000) (multiplicity 1)

## Properties
* E_form (uncorrected): 23.3 kcal/mol of atoms
* mass density: 7.80 g/cm³
* E: -3.7900 eV per atom
* magnetic moment: 1.3 μB per cell
* calculated volume: 11.67 Å³ per atom